VASP calculation (PBE) on a relaxed AcSi2PdRh crystal.

Structure (POSCAR):
```
AcSi2PdRh
1.0
4.3180 0.0000 0.0000
0.0000 4.3180 0.0000
-2.1590 -2.1590 5.1372
Si Ac Rh Pd
2 1 1 1
Direct
0.3703 0.3703 0.7406 Si
0.6297 0.6297 0.2594 Si
0.0000 0.0000 0.0000 Ac
0.2500 0.7500 0.5000 Rh
0.7500 0.2500 0.5000 Pd
```

Properties
Total magnetization in μB/f.u.: 0.00
Volume in Å³ per atom: 19.2
Fermi-level density of states in states/eV/cell: 5.362
Calculated total energy in Ha/atom: -0.2341
E_form (uncorrected) in eV per formula unit: -4.3